[1]
The following is a PBE calculation of an optimized crystal structure of TaMnNiRh, from Alexandria.

Calculated values
Its symmetry is F-43m. For the formation enthalpy at 0 K, the calculation gives -0.191 eV/atom.

Lattice parameters (Å, degrees): 4.342 4.342 4.342 60.00 60.00 60.00
Sites, in units of the cell vectors:
Ta  0.000  0.000  0.000
Mn  0.500  0.500  0.500
Ni  0.250  0.250  0.250
Rh  0.750  0.750  0.750


[2]
The following is a PBE calculation of an optimized crystal structure of TbMnNiRh, from Alexandria.

Calculated values
Its symmetry is F-43m. For the formation enthalpy at 0 K, the calculation gives -0.278 eV/atom.

Lattice parameters (Å, degrees): 4.555 4.555 4.555 60.00 60.00 60.00
Sites, in units of the cell vectors:
Tb  0.000  0.000  0.000
Mn  0.500  0.500  0.500
Ni  0.750  0.750  0.750
Rh  0.250  0.250  0.250


[3]
The following is a PBE calculation of an optimized crystal structure of MnTcNiRh, from Alexandria.

Calculated values
Its symmetry is F-43m. For the formation enthalpy at 0 K, the calculation gives 0.065 eV/atom.

Lattice parameters (Å, degrees): 4.198 4.198 4.198 60.00 60.00 60.00
Sites, in units of the cell vectors:
Mn  0.000  0.000  0.000
Tc  0.750  0.750  0.750
Ni  0.500  0.500  0.500
Rh  0.250  0.250  0.250


[4]
The following is a PBE calculation of an optimized crystal structure of Ti5Mn2NiRh2, from Alexandria.

Calculated values
Its symmetry is P4/mbm. For the formation enthalpy at 0 K, the calculation gives -0.196 eV/atom.

Lattice parameters (Å, degrees): 9.894 9.894 2.977 90.00 90.00 90.00
Sites, in units of the cell vectors:
Ti  0.000  0.500  0.000
Ti  0.040  0.207  0.000
Ti  0.207  0.960  0.000
Ti  0.293  0.460  0.000
Ti  0.460  0.707  0.000
Ti  0.500  0.000  0.000
Ti  0.540  0.293  0.000
Ti  0.707  0.540  0.000
Ti  0.793  0.040  0.000
Ti  0.960  0.793  0.000
Mn  0.139  0.361  0.500
Mn  0.361  0.861  0.500
Mn  0.639  0.139  0.500
Mn  0.861  0.639  0.500
Ni  0.000  0.000  0.500
Ni  0.500  0.500  0.500
Rh  0.172  0.672  0.500
Rh  0.328  0.172  0.500
Rh  0.672  0.828  0.500
Rh  0.828  0.328  0.500


[5]
The following is a PBE calculation of an optimized crystal structure of TiMnNiRh, from Alexandria.

Calculated values
Its symmetry is F-43m. For the formation enthalpy at 0 K, the calculation gives -0.367 eV/atom.

Lattice parameters (Å, degrees): 4.277 4.277 4.277 60.00 60.00 60.00
Sites, in units of the cell vectors:
Ti  0.000  0.000  0.000
Mn  0.500  0.500  0.500
Ni  0.250  0.250  0.250
Rh  0.750  0.750  0.750


[6]
The following is a PBE calculation of an optimized crystal structure of MnTlNiRh, from Alexandria.

Calculated values
Its symmetry is F-43m. For the formation enthalpy at 0 K, the calculation gives 0.076 eV/atom.

Lattice parameters (Å, degrees): 4.442 4.442 4.442 60.00 60.00 60.00
Sites, in units of the cell vectors:
Mn  0.000  0.000  0.000
Tl  0.500  0.500  0.500
Ni  0.250  0.250  0.250
Rh  0.750  0.750  0.750